Here is a crystal of KIr2Au relaxed with PBEsol from Alexandria. Energies are from meta-GGA SCAN.

Values from the calculation:
The value obtained for the density of states at the Fermi level is 4.9 states/eV/f.u. The value obtained for the size of the total moment is 0.0 Bohr magnetons per cell. The total DFT energy (no corrections) comes out at -54.20 eV per atom. For the formation energy, the calculation gives 2.90 eV/f.u.

a b c (Å): 2.711 4.942 5.340
angles (deg): 90.00 96.54 90.00
Fractional positions:
Au 0.000 0.500 0.500
Ir 0.802 0.000 0.709
Ir 0.198 0.000 0.291
K 0.500 0.500 0.000


Here is a crystal of CaAs3F relaxed with PBEsol from Alexandria. Energies are from meta-GGA SCAN.

Values from the calculation:
The value obtained for the density of states at the Fermi level is 2.3 states/eV/f.u. The uncorrected formation energy is -1.890 eV per formula unit. The value obtained for the size of the total moment is 0.0 Bohr magnetons per cell. The total DFT energy (no corrections) comes out at -15.13 eV per atom.

a b c (Å): 4.577 4.577 4.577
angles (deg): 90.00 90.00 90.00
Fractional positions:
As 0.000 0.500 0.000
As 0.000 0.000 0.500
As 0.500 0.000 0.000
Ca 0.500 0.500 0.500
F 0.000 0.000 0.000